DFT (PBE-GGA) results for TlSn2Br7 after structural relaxation.

```
TlSn2Br7
1.0
5.692 0.000 0.000
0.000 9.177 3.026
0.000 -1.440 9.555
Tl Sn Br
1 2 7
Direct
0.000 0.000 0.000
0.500 0.721 0.279
0.500 0.279 0.721
0.000 0.722 0.278
0.000 0.278 0.722
0.500 0.988 0.280
0.500 0.012 0.720
0.500 0.280 0.988
0.500 0.720 0.012
0.500 0.500 0.500
```

Computed properties:
**Mass density**: 3.17 g cm⁻³
**Magnetic moment**: 0.0000 μB/atom
**D(E_F)**: 1.66 states/eV per cell
**Crystal system**: orthorhombic
**Final energy**: -28.54 eV per cell



DFT (PBE-GGA) results for IrPb3N after structural relaxation.

```
IrPb3N
1.0
-2.485 -2.814 -3.017
-0.067 -3.494 3.314
-4.125 1.752 1.764
Pb Ir N
3 1 1
Direct
0.000 0.500 0.000
0.000 0.000 0.500
0.500 0.000 0.000
0.500 0.500 0.500
0.000 0.000 0.000
```

Computed properties:
**Mass density**: 12.30 g cm⁻³
**Magnetic moment**: 0.0000 μB/atom
**D(E_F)**: 1.30 states/eV per cell
**Energy above the most stable polymorph in this dataset**: 0.0 meV/atom
**Crystal system**: cubic
**Final energy**: -23.68 eV per cell



DFT (PBE-GGA) results for MnAs2P after structural relaxation.

```
MnAs2P
1.0
6.853 -0.063 -0.005
5.261 4.391 0.005
-6.018 -2.273 2.362
As Mn P
2 1 1
Direct
0.975 0.975 0.000
0.268 0.768 0.500
0.558 0.558 0.000
0.699 0.199 0.500
```

Computed properties:
**Mass density**: 5.45 g cm⁻³
**Magnetic moment**: 0.7420 μB/atom
**D(E_F)**: 1.59 states/eV per cell
**Formation energy from the elements**: 0.145 eV/atom
**Crystal system**: orthorhombic
**Final energy**: -23.30 eV per cell



Number 2 is which compound?
IrPb3N